The following is a GGA-PBE calculation of a relaxed structure of KNi2Rh, from the Alexandria database.

Unit cell a=4.8342 b=4.8342 c=4.8342 alpha=130.32 beta=130.32 gamma=72.90
With the nearest neighbours (Å) after each atom.
Atoms (fractional coordinates):
K 0.0000 0.0000 0.0000  8 Ni 2.81-2.87, 4 Rh 2.81
Ni 0.2500 0.7500 0.5000  4 K 2.81, 4 Ni 2.81, 4 Rh 2.87
Ni 0.5000 0.5000 0.0000  4 Ni 2.81, 4 Rh 2.81, 4 K 2.87
Rh 0.7500 0.2500 0.5000  4 K 2.81, 8 Ni 2.81-2.87

Results
The space-group type is I-4m2 (119). The value obtained for the energy above the most stable polymorph in this dataset is 0.527 eV/atom. For the total magnetization, the calculation gives 1.815 Bohr magnetons per cell. As for the formation energy: 4.01 eV/f.u.